[1]
Compound: PaAlVCr
Source: Alexandria via LeMat-Bulk
Functional: PBE
Structure: optimized geometry

POSCAR file:
```
PaAlVCr
1.0
-3.0854 -0.4153 -3.2084
-4.2256 -0.9855 1.0766
-3.1981 3.0927 -0.4394
Pa V Al Cr
1 1 1 1
direct
0.0000 0.0000 0.0000 Pa
0.7500 0.7500 0.7500 V
0.5000 0.5000 0.5000 Al
0.2500 0.2500 0.2500 Cr
```

## Properties
Its space group is No. 216. As for the crystal system: cubic. For the electronic total energy, the calculation gives -32.25 eV/cell.


[2]
Compound: ScRh4W
Source: Alexandria via LeMat-Bulk
Functional: PBE
Structure: optimized geometry

POSCAR file:
```
ScRh4W
1.0
0.0000 3.6236 3.6236
3.6236 0.0000 3.6236
3.6236 3.6236 0.0000
Rh W Sc
4 1 1
direct
0.3752 0.3752 0.3752 Rh
0.3752 0.8743 0.3752 Rh
0.8743 0.3752 0.3752 Rh
0.3752 0.3752 0.8743 Rh
0.0000 0.0000 0.0000 W
0.7500 0.7500 0.7500 Sc
```

## Properties
Its space group is No. 216. As for the crystal system: cubic. For the electronic total energy, the calculation gives -49.30 eV/cell.


[3]
Compound: Mn2TcGe
Source: Alexandria via LeMat-Bulk
Functional: PBE
Structure: optimized geometry

POSCAR file:
```
Mn2TcGe
1.0
3.6384 -0.0233 -2.0876
-2.4163 3.4368 -0.0254
-0.0130 0.0183 4.2013
Mn Ge Tc
2 1 1
direct
0.6250 0.0625 0.6875 Mn
0.1250 0.8125 0.9375 Mn
0.6250 0.5625 0.1875 Ge
0.1250 0.3125 0.4375 Tc
```

## Properties
Its space group is No. 119. As for the crystal system: tetragonal. For the electronic total energy, the calculation gives -33.79 eV/cell.


[4]
Compound: K2RuPb
Source: Alexandria via LeMat-Bulk
Functional: PBE
Structure: optimized geometry

POSCAR file:
```
K2RuPb
1.0
4.6381 -0.0114 0.0018
2.3302 4.0102 0.0018
2.2554 1.2943 8.5824
Ru K Pb
1 2 1
direct
0.7919 0.7919 0.6244 Ru
0.0349 0.0349 0.9018 K
0.2150 0.2150 0.3486 K
0.4583 0.4583 0.6253 Pb
```

## Properties
Its space group is No. 8. As for the crystal system: monoclinic. For the electronic total energy, the calculation gives -13.57 eV/cell.


[5]
Compound: HoThAgHg
Source: Alexandria via LeMat-Bulk
Functional: PBE
Structure: optimized geometry

POSCAR file:
```
HoThAgHg
1.0
5.2862 0.0000 0.0000
2.6431 4.5780 0.0000
2.6431 1.5260 4.3161
Hg Ag Ho Th
1 1 1 1
direct
0.7500 0.7500 0.7500 Hg
0.2500 0.2500 0.2500 Ag
0.0000 0.0000 0.0000 Ho
0.5000 0.5000 0.5000 Th
```

## Properties
Its space group is No. 216. As for the crystal system: cubic. For the electronic total energy, the calculation gives -16.05 eV/cell.


[6]
Compound: UB2C
Source: Alexandria via LeMat-Bulk
Functional: PBE
Structure: optimized geometry

POSCAR file:
```
UB2C
1.0
3.5056 0.0000 0.0000
0.0000 4.0982 0.0000
0.0000 0.0000 6.0126
B C U
4 2 2
direct
0.5000 0.1592 0.5986 B
0.5000 0.1592 0.9014 B
0.5000 0.8408 0.0986 B
0.5000 0.8408 0.4014 B
0.5000 0.5000 0.0000 C
0.5000 0.5000 0.5000 C
0.0000 0.3027 0.2500 U
0.0000 0.6973 0.7500 U
```

## Properties
Its space group is No. 51. As for the crystal system: orthorhombic. For the electronic total energy, the calculation gives -70.98 eV/cell.


[7]
Compound: LiLa2TlF
Source: Alexandria via LeMat-Bulk
Functional: PBE
Structure: optimized geometry

POSCAR file:
```
LiLa2TlF
1.0
-1.6583 -1.6029 -4.8049
2.0326 -4.8415 0.9136
-3.6805 -1.2281 1.6799
Tl La Li F
1 2 1 1
direct
0.5000 0.5000 0.5000 Tl
0.0000 0.5000 0.0000 La
0.5000 0.0000 0.0000 La
0.0000 0.0000 0.5000 Li
0.0000 0.0000 0.0000 F
```

## Properties
Its space group is No. 123. As for the crystal system: tetragonal. The value obtained for the uncorrected formation energy is -1.232 eV per atom. For the electronic total energy, the calculation gives -22.17 eV/cell.


[8]
Compound: Ac2TbGaO6
Source: Alexandria via LeMat-Bulk
Functional: PBE
Structure: optimized geometry

POSCAR file:
```
Ac2TbGaO6
1.0
5.8089 0.0000 0.0000
0.0000 6.1327 0.0000
0.0000 0.0000 8.3082
O Tb Ga Ac
12 2 2 4
direct
0.2542 0.5584 0.0000 O
0.2424 0.0098 0.0000 O
0.7576 0.0098 0.0000 O
0.2458 0.4416 0.5000 O
0.5000 0.2058 0.2605 O
0.0000 0.7942 0.2395 O
0.0000 0.7942 0.7605 O
0.2576 0.9902 0.5000 O
0.7424 0.9902 0.5000 O
0.7542 0.4416 0.5000 O
0.7458 0.5584 0.0000 O
0.5000 0.2058 0.7395 O
0.5000 0.2862 0.0000 Tb
0.0000 0.7138 0.5000 Tb
0.5000 0.2338 0.5000 Ga
0.0000 0.7662 0.0000 Ga
0.0000 0.2038 0.2705 Ac
0.5000 0.7962 0.2295 Ac
0.5000 0.7962 0.7705 Ac
0.0000 0.2038 0.7295 Ac
```

## Properties
Its space group is No. 59. As for the crystal system: orthorhombic. The value obtained for the uncorrected formation energy is -2.921 eV per atom. For the electronic total energy, the calculation gives -149.66 eV/cell.


[9]
Compound: In2RuSe
Source: Alexandria via LeMat-Bulk
Functional: PBE
Structure: optimized geometry

POSCAR file:
```
In2RuSe
1.0
-2.9090 -4.9238 -2.6319
5.5639 -2.8025 -0.9067
0.8813 -6.5113 3.6779
Ru In Se
2 4 2
direct
0.0000 0.0000 0.0000 Ru
0.7500 0.2500 0.5000 Ru
0.8750 0.8983 0.7500 In
0.3750 0.3517 0.7500 In
0.1017 0.6250 0.2500 In
0.6483 0.1250 0.2500 In
0.2500 0.7500 0.5000 Se
0.5000 0.5000 0.0000 Se
```

## Properties
Its space group is No. 122. As for the crystal system: tetragonal. The value obtained for the uncorrected formation energy is 0.442 eV per atom. For the electronic total energy, the calculation gives -32.94 eV/cell.


[10]
Compound: TaTePdI2
Source: Alexandria via LeMat-Bulk
Functional: PBE
Structure: optimized geometry

POSCAR file:
```
TaTePdI2
1.0
5.5456 0.0000 0.0000
0.0000 5.5456 0.0000
0.0000 0.0000 5.3657
Te I Ta Pd
1 2 1 1
direct
0.0000 0.0000 0.5000 Te
0.0000 0.5000 0.0000 I
0.5000 0.0000 0.0000 I
0.0000 0.0000 0.0000 Ta
0.5000 0.5000 0.5000 Pd
```

## Properties
Its space group is No. 123. As for the crystal system: tetragonal. The value obtained for the uncorrected formation energy is 0.577 eV per atom. For the electronic total energy, the calculation gives -20.40 eV/cell. For the distance to the lowest polymorph of the same formula, the calculation gives 0.000 eV/atom.


[11]
Compound: KBi2PdPb
Source: Alexandria via LeMat-Bulk
Functional: PBE
Structure: optimized geometry

POSCAR file:
```
KBi2PdPb
1.0
-1.3506 5.4407 -1.9114
-6.0256 -1.7454 -0.7104
-1.1406 1.6722 5.5661
K Pd Bi Pb
1 1 2 1
direct
0.0000 0.5000 0.0000 K
0.5000 0.5000 0.5000 Pd
0.0000 0.0000 0.5000 Bi
0.5000 0.0000 0.0000 Bi
0.0000 0.0000 0.0000 Pb
```

## Properties
Its space group is No. 123. As for the crystal system: tetragonal. For the electronic total energy, the calculation gives -13.64 eV/cell.


[12]
Compound: HfCdI6
Source: Alexandria via LeMat-Bulk
Functional: PBE
Structure: optimized geometry

POSCAR file:
```
HfCdI6
1.0
7.3933 0.0103 0.0046
3.6882 6.4068 0.0095
3.6894 2.1319 6.6387
I Cd Hf
6 1 1
direct
0.2369 0.9211 0.2430 I
0.4009 0.7631 0.7570 I
0.5991 0.2369 0.2430 I
0.9211 0.5991 0.2430 I
0.0789 0.4009 0.7570 I
0.7631 0.0789 0.7570 I
0.5000 0.5000 0.5000 Cd
0.0000 0.0000 0.0000 Hf
```

## Properties
Its space group is No. 148. As for the crystal system: trigonal. The value obtained for the uncorrected formation energy is -0.694 eV per atom. For the electronic total energy, the calculation gives -25.72 eV/cell. For the distance to the lowest polymorph of the same formula, the calculation gives 0.011 eV/atom.